1.
Here is a geometry-optimized Dy2UAgS6 structure from the Alexandria database. Energies are from PBE.

a = 6.2747 Å, b = 6.2747 Å, c = 6.6551 Å
α = 90.00°, β = 90.00°, γ = 90.00°
Space group P4mm (No. 99)
Symmetry-distinct sites (fractional):
1 Dy 0.0000 0.5000 0.0000
2 U 0.0000 0.0000 0.6008
3 Ag 0.5000 0.5000 0.5157
4 S 0.0000 0.0000 0.2010
5 S 0.2566 0.2566 0.7639
6 S 0.5000 0.5000 0.1571

formation energy without anion corrections	-1.100	eV/atom

***

2.
Here is a geometry-optimized Dy3VAg3S8 structure from the Alexandria database. Energies are from PBE.

a = 13.4513 Å, b = 7.7722 Å, c = 7.7965 Å
α = 90.00°, β = 125.37°, γ = 90.00°
Space group C2/m (No. 12)
Symmetry-distinct sites (fractional):
1 Dy 0.0000 0.0000 0.0000
2 Dy 0.2500 0.2500 0.5000
3 V 0.0000 0.5000 0.0000
4 Ag 0.0000 0.5000 0.5000
5 Ag 0.2500 0.2500 0.0000
6 S 0.0012 0.2744 0.2227
7 S 0.2244 0.5000 0.2285
8 S 0.2482 0.0000 0.2536

formation energy without anion corrections	-1.122	eV/atom

***

3.
Here is a geometry-optimized Dy4YAgS8 structure from the Alexandria database. Energies are from PBE.

a = 8.0273 Å, b = 8.0273 Å, c = 19.6735 Å
α = 90.00°, β = 90.00°, γ = 120.00°
Space group R3m (No. 160, hexagonal axes)
Symmetry-distinct sites (fractional):
1 Dy 0.0000 0.0000 0.0000
2 Dy 0.0114 0.5057 0.1266
3 Y 0.0000 0.0000 0.6208
4 Ag 0.0000 0.0000 0.2504
5 S 0.0000 0.0000 0.3829
6 S 0.0000 0.0000 0.8666
7 S 0.0223 0.5112 0.3780
8 S 0.1767 0.3535 0.2057

formation energy without anion corrections	-1.831	eV/atom

***

4.
Here is a geometry-optimized DyY2Ag3S6 structure from the Alexandria database. Energies are from PBE.

a = 15.3138 Å, b = 4.0877 Å, c = 11.9912 Å
α = 90.00°, β = 118.99°, γ = 90.00°
Space group C2/m (No. 12)
Symmetry-distinct sites (fractional):
1 Dy 0.0000 0.0000 0.0000
2 Y 0.1668 0.5000 0.3332
3 Ag 0.0000 0.0000 0.5000
4 Ag 0.1660 0.5000 0.8323
5 S 0.0260 0.5000 0.8655
6 S 0.1405 0.0000 0.4679
7 S 0.1927 0.0000 0.1982

formation energy without anion corrections	-1.312	eV/atom

***

Repeat the second record exactly.
Here is a geometry-optimized Dy3VAg3S8 structure from the Alexandria database. Energies are from PBE.

a = 13.4513 Å, b = 7.7722 Å, c = 7.7965 Å
α = 90.00°, β = 125.37°, γ = 90.00°
Space group C2/m (No. 12)
Symmetry-distinct sites (fractional):
1 Dy 0.0000 0.0000 0.0000
2 Dy 0.2500 0.2500 0.5000
3 V 0.0000 0.5000 0.0000
4 Ag 0.0000 0.5000 0.5000
5 Ag 0.2500 0.2500 0.0000
6 S 0.0012 0.2744 0.2227
7 S 0.2244 0.5000 0.2285
8 S 0.2482 0.0000 0.2536

formation energy without anion corrections	-1.122	eV/atom